No. 1
Tm2BiH | PBE | relaxed

Summary:
distance to the lowest polymorph of the same formula	261	meV per atom
final energy	-4.360	eV per atom

a = 4.0932 Å, b = 4.0932 Å, c = 19.1115 Å
α = 90.00°, β = 90.00°, γ = 120.00°
Closest atoms and distances in Å follow each position.
Fractional coordinates of all 12 atoms:
Tm (0.0000, 0.0000, 0.2329)  3 H 2.68
Tm (0.0000, 0.0000, 0.7671)  3 H 2.68
Tm (0.3333, 0.6667, 0.4338)  3 H 2.68
Tm (0.3333, 0.6667, 0.8995)  3 H 2.68
Tm (0.6667, 0.3333, 0.1005)  3 H 2.68
Tm (0.6667, 0.3333, 0.5662)  3 H 2.68
Bi (0.0000, 0.0000, 0.0000)  6 Tm 3.04
Bi (0.3333, 0.6667, 0.6667)  6 Tm 3.04
Bi (0.6667, 0.3333, 0.3333)  6 Tm 3.04
H (0.0000, 0.0000, 0.5000)  6 Tm 2.68
H (0.3333, 0.6667, 0.1667)  6 Tm 2.68
H (0.6667, 0.3333, 0.8333)  6 Tm 2.68

No. 2
Si3BiBr | PBE | relaxed

Summary:
distance to the lowest polymorph of the same formula	0	meV per atom
energy relative to the elements, uncorrected	1.2090	eV/atom
final energy	-3.156	eV per atom

a = 5.0529 Å, b = 5.0529 Å, c = 5.0529 Å
α = 90.00°, β = 90.00°, γ = 90.00°
Closest atoms and distances in Å follow each position.
Fractional coordinates of all 5 atoms:
Si (0.0000, 0.0000, 0.5000)  2 Br 2.53
Si (0.0000, 0.5000, 0.0000)  2 Br 2.53
Si (0.5000, 0.0000, 0.0000)  2 Br 2.53
Bi (0.5000, 0.5000, 0.5000)  12 Si 3.57
Br (0.0000, 0.0000, 0.0000)  6 Si 2.53

No. 3
Tl3CuAs2Se6 | PBE | relaxed

Summary:
energy relative to the elements, uncorrected	-0.1760	eV/atom
final energy	-3.626	eV per atom

a = 6.9035 Å, b = 6.9035 Å, c = 7.5468 Å
α = 98.73°, β = 98.73°, γ = 119.93°
Closest atoms and distances in Å follow each position.
Fractional coordinates of all 12 atoms:
Tl (0.0000, 0.0000, 0.0000)  6 Se 3.14-3.20
Tl (0.3254, 0.6746, 0.0000)  6 Se 3.15-3.19
Tl (0.6746, 0.3254, 0.0000)  6 Se 3.15-3.19
Cu (0.5000, 0.5000, 0.5000)  6 Se 2.62-2.66
As (0.1649, 0.8351, 0.5000)  6 Se 2.73-2.76
As (0.8351, 0.1649, 0.5000)  6 Se 2.73-2.76
Se (0.1143, 0.4343, 0.3040)  1 Cu 2.62, 2 As 2.74-2.76
Se (0.2434, 0.2434, 0.7011)  1 Cu 2.66, 2 As 2.73
Se (0.4343, 0.1143, 0.3040)  1 Cu 2.62, 2 As 2.74-2.76
Se (0.5657, 0.8857, 0.6960)  1 Cu 2.62, 2 As 2.74-2.76
Se (0.7566, 0.7566, 0.2989)  1 Cu 2.66, 2 As 2.73
Se (0.8857, 0.5657, 0.6960)  1 Cu 2.62, 2 As 2.74-2.76

No. 4
InAsW | PBE | relaxed

Summary:
distance to the lowest polymorph of the same formula	0	meV per atom
final energy	-6.562	eV per atom

a = 3.1934 Å, b = 3.1934 Å, c = 6.5531 Å
α = 90.00°, β = 90.00°, γ = 120.00°
Closest atoms and distances in Å follow each position.
Fractional coordinates of all 3 atoms:
In (0.0000, 0.0000, 0.0000)  3 W 2.94, 3 As 3.14, 6 In 3.19
As (0.3333, 0.6667, 0.6116)  3 W 2.52
W (0.6667, 0.3333, 0.3487)  3 As 2.52

No. 5
LiTiAl2Ga | PBE | relaxed

Summary:
final energy	-3.547	eV per atom

a = 4.7515 Å, b = 4.7515 Å, c = 4.8694 Å
α = 90.00°, β = 90.00°, γ = 90.00°
Closest atoms and distances in Å follow each position.
Fractional coordinates of all 5 atoms:
Li (0.0000, 0.0000, 0.0000)  4 Ti 3.36, 8 Al 3.40
Ti (0.5000, 0.5000, 0.0000)  2 Ga 2.43
Al (0.0000, 0.5000, 0.5000)  2 Ga 2.38
Al (0.5000, 0.0000, 0.5000)  2 Ga 2.38
Ga (0.5000, 0.5000, 0.5000)  4 Al 2.38, 2 Ti 2.43

No. 6
Sc2ZnNi | PBE | relaxed

Summary:
final energy	-4.960	eV per atom

a = 3.2169 Å, b = 3.2169 Å, c = 25.3836 Å
α = 90.00°, β = 90.00°, γ = 120.00°
Closest atoms and distances in Å follow each position.
Fractional coordinates of all 12 atoms:
Sc (0.0000, 0.0000, 0.0000)  3 Zn 2.89, 6 Sc 3.22
Sc (0.0000, 0.0000, 0.2242)  3 Ni 2.61
Sc (0.3333, 0.6667, 0.6667)  3 Zn 2.89, 6 Sc 3.22
Sc (0.3333, 0.6667, 0.8908)  3 Ni 2.61
Sc (0.6667, 0.3333, 0.3333)  3 Zn 2.89, 6 Sc 3.22
Sc (0.6667, 0.3333, 0.5575)  3 Ni 2.61
Zn (0.0000, 0.0000, 0.7540)  3 Ni 2.48
Zn (0.3333, 0.6667, 0.4207)  3 Ni 2.48
Zn (0.6667, 0.3333, 0.0874)  3 Ni 2.48
Ni (0.0000, 0.0000, 0.4855)  3 Zn 2.48, 3 Sc 2.61
Ni (0.3333, 0.6667, 0.1521)  3 Zn 2.48, 3 Sc 2.61
Ni (0.6667, 0.3333, 0.8188)  3 Zn 2.48, 3 Sc 2.61

No. 7
ZnFe2Pb | PBE | relaxed

Summary:
final energy	-5.045	eV per atom

a = 3.9269 Å, b = 3.9269 Å, c = 8.1694 Å
α = 90.00°, β = 90.00°, γ = 90.00°
Closest atoms and distances in Å follow each position.
Fractional coordinates of all 8 atoms:
Zn (0.0000, 0.0000, 0.0000)  8 Fe 2.78-2.83, 4 Pb 2.83
Zn (0.5000, 0.5000, 0.5000)  8 Fe 2.78-2.83, 4 Pb 2.83
Fe (0.0000, 0.0000, 0.5000)  4 Zn 2.78, 4 Fe 2.83, 4 Pb 2.83
Fe (0.0000, 0.5000, 0.7500)  4 Pb 2.78, 4 Fe 2.83, 4 Zn 2.83
Fe (0.5000, 0.0000, 0.2500)  4 Pb 2.78, 4 Fe 2.83, 4 Zn 2.83
Fe (0.5000, 0.5000, 0.0000)  4 Zn 2.78, 4 Fe 2.83, 4 Pb 2.83
Pb (0.0000, 0.5000, 0.2500)  8 Fe 2.78-2.83, 4 Zn 2.83
Pb (0.5000, 0.0000, 0.7500)  8 Fe 2.78-2.83, 4 Zn 2.83

No. 8
Al2NiSe | PBE | relaxed

Summary:
energy relative to the elements, uncorrected	-0.1869	eV/atom
final energy	-4.375	eV per atom

a = 3.3231 Å, b = 3.4303 Å, c = 11.7540 Å
α = 90.00°, β = 90.00°, γ = 90.00°
Closest atoms and distances in Å follow each position.
Fractional coordinates of all 8 atoms:
Al (0.0000, 0.0000, 0.0000)  2 Ni 2.46, 4 Se 2.69
Al (0.0000, 0.5000, 0.2072)  4 Ni 2.47
Al (0.5000, 0.0000, 0.7072)  4 Ni 2.47
Al (0.5000, 0.5000, 0.5000)  2 Ni 2.46, 4 Se 2.69
Ni (0.0000, 0.5000, 0.6546)  6 Al 2.46-2.47
Ni (0.5000, 0.0000, 0.1546)  6 Al 2.46-2.47
Se (0.0000, 0.0000, 0.3942)  6 Al 2.69-2.79
Se (0.5000, 0.5000, 0.8942)  6 Al 2.69-2.79

No. 9
SiBiS2 | PBE | relaxed

Summary:
distance to the lowest polymorph of the same formula	0	meV per atom
energy relative to the elements, uncorrected	-0.2706	eV/atom
final energy	-4.660	eV per atom

a = 3.2966 Å, b = 3.2966 Å, c = 34.9268 Å
α = 90.00°, β = 90.00°, γ = 120.00°
Closest atoms and distances in Å follow each position.
Fractional coordinates of all 12 atoms:
Si (0.0000, 0.0000, 0.0000)  6 S 2.32
Si (0.3333, 0.6667, 0.6667)  6 S 2.32
Si (0.6667, 0.3333, 0.3333)  6 S 2.32
Bi (0.0000, 0.0000, 0.5000)  6 Bi 3.30
Bi (0.3333, 0.6667, 0.1667)  6 Bi 3.30
Bi (0.6667, 0.3333, 0.8333)  6 Bi 3.30
S (0.0000, 0.0000, 0.3712)  3 Si 2.32
S (0.0000, 0.0000, 0.6288)  3 Si 2.32
S (0.3333, 0.6667, 0.0379)  3 Si 2.32
S (0.3333, 0.6667, 0.2954)  3 Si 2.32
S (0.6667, 0.3333, 0.7046)  3 Si 2.32
S (0.6667, 0.3333, 0.9621)  3 Si 2.32

No. 10
ScMnNiPt | PBE | relaxed

Summary:
final energy	-7.379	eV per atom

a = 6.2823 Å, b = 6.2823 Å, c = 6.2823 Å
α = 90.00°, β = 90.00°, γ = 90.00°
Closest atoms and distances in Å follow each position.
Fractional coordinates of all 16 atoms:
Sc (0.0000, 0.0000, 0.0000)  4 Ni 2.72, 4 Pt 2.72
Sc (0.0000, 0.5000, 0.5000)  4 Ni 2.72, 4 Pt 2.72
Sc (0.5000, 0.0000, 0.5000)  4 Ni 2.72, 4 Pt 2.72
Sc (0.5000, 0.5000, 0.0000)  4 Ni 2.72, 4 Pt 2.72
Mn (0.0000, 0.0000, 0.5000)  4 Ni 2.72, 4 Pt 2.72
Mn (0.0000, 0.5000, 0.0000)  4 Ni 2.72, 4 Pt 2.72
Mn (0.5000, 0.0000, 0.0000)  4 Ni 2.72, 4 Pt 2.72
Mn (0.5000, 0.5000, 0.5000)  4 Ni 2.72, 4 Pt 2.72
Ni (0.2500, 0.2500, 0.7500)  4 Mn 2.72, 4 Sc 2.72
Ni (0.2500, 0.7500, 0.2500)  4 Mn 2.72, 4 Sc 2.72
Ni (0.7500, 0.2500, 0.2500)  4 Mn 2.72, 4 Sc 2.72
Ni (0.7500, 0.7500, 0.7500)  4 Sc 2.72, 4 Mn 2.72
Pt (0.2500, 0.2500, 0.2500)  4 Mn 2.72, 4 Sc 2.72
Pt (0.2500, 0.7500, 0.7500)  4 Mn 2.72, 4 Sc 2.72
Pt (0.7500, 0.2500, 0.7500)  4 Mn 2.72, 4 Sc 2.72
Pt (0.7500, 0.7500, 0.2500)  4 Mn 2.72, 4 Sc 2.72

No. 11
Th3In5Rh2 | PBE | relaxed

Summary:
final energy	-5.412	eV per atom

a = 9.3469 Å, b = 9.3469 Å, c = 9.3469 Å
α = 102.33°, β = 92.77°, γ = 137.58°
Closest atoms and distances in Å follow each position.
Fractional coordinates of all 20 atoms:
Th (0.1519, 0.7478, 0.8997)  1 Rh 3.11, 2 In 3.34-3.40
Th (0.2500, 0.2500, 0.0000)  4 Rh 2.81
Th (0.3481, 0.2478, 0.5959)  1 Rh 3.11, 2 In 3.34-3.40
Th (0.6519, 0.7522, 0.4041)  1 Rh 3.11, 2 In 3.34-3.40
Th (0.7500, 0.7500, 0.0000)  4 Rh 2.81
Th (0.8481, 0.2522, 0.1003)  1 Rh 3.11, 2 In 3.34-3.40
In (0.0117, 0.7500, 0.2617)  2 Rh 2.71
In (0.1010, 0.3329, 0.4340)  1 Rh 2.57
In (0.2500, 0.7500, 0.5000)  6 In 2.90-3.07
In (0.3990, 0.8329, 0.2319)  1 Rh 2.57
In (0.4883, 0.7500, 0.7383)  2 Rh 2.71
In (0.5117, 0.2500, 0.2617)  2 Rh 2.71
In (0.6010, 0.1671, 0.7681)  1 Rh 2.57
In (0.7500, 0.2500, 0.5000)  6 In 2.90-3.07
In (0.8990, 0.6671, 0.5660)  1 Rh 2.57
In (0.9883, 0.2500, 0.7383)  2 Rh 2.71
Rh (0.1376, 0.1178, 0.2554)  3 In 2.57-2.71, 2 Th 2.81
Rh (0.3624, 0.6178, 0.9802)  3 In 2.57-2.71, 2 Th 2.81
Rh (0.6376, 0.3822, 0.0198)  3 In 2.57-2.71, 2 Th 2.81
Rh (0.8624, 0.8822, 0.7446)  3 In 2.57-2.71, 2 Th 2.81

No. 12
CuMoRh2 | PBE | relaxed

Summary:
distance to the lowest polymorph of the same formula	0	meV per atom
final energy	-7.542	eV per atom

a = 4.3667 Å, b = 5.5038 Å, c = 4.6681 Å
α = 90.00°, β = 90.00°, γ = 90.00°
Closest atoms and distances in Å follow each position.
Fractional coordinates of all 8 atoms:
Cu (0.2500, 0.2500, 0.1767)  8 Rh 2.66-2.74, 4 Mo 2.70-2.75
Cu (0.7500, 0.7500, 0.8233)  8 Rh 2.66-2.74, 4 Mo 2.70-2.75
Mo (0.2500, 0.7500, 0.1619)  8 Rh 2.62-2.78, 4 Cu 2.70-2.75
Mo (0.7500, 0.2500, 0.8381)  8 Rh 2.62-2.78, 4 Cu 2.70-2.75
Rh (0.2500, 0.5025, 0.6815)  4 Mo 2.62-2.78, 4 Cu 2.66-2.74, 4 Rh 2.72-2.78
Rh (0.2500, 0.9975, 0.6815)  4 Mo 2.62-2.78, 4 Cu 2.66-2.74, 4 Rh 2.72-2.78
Rh (0.7500, 0.0025, 0.3185)  4 Mo 2.62-2.78, 4 Cu 2.66-2.74, 4 Rh 2.72-2.78
Rh (0.7500, 0.4975, 0.3185)  4 Mo 2.62-2.78, 4 Cu 2.66-2.74, 4 Rh 2.72-2.78

No. 13
LaScPt2 | PBE | relaxed

Summary:
final energy	-6.700	eV per atom

a = 3.6987 Å, b = 6.8937 Å, c = 7.5786 Å
α = 90.00°, β = 90.00°, γ = 90.00°
Closest atoms and distances in Å follow each position.
Fractional coordinates of all 8 atoms:
La (0.0000, 0.0000, 0.0000)  8 Pt 3.17-3.19
La (0.0000, 0.5000, 0.5000)  8 Pt 3.17-3.19
Sc (0.5000, 0.0000, 0.4253)  4 Pt 2.56-2.64
Sc (0.5000, 0.5000, 0.9253)  4 Pt 2.56-2.64
Pt (0.5000, 0.2078, 0.7176)  2 Sc 2.56-2.64
Pt (0.5000, 0.2922, 0.2176)  2 Sc 2.56-2.64
Pt (0.5000, 0.7078, 0.2176)  2 Sc 2.56-2.64
Pt (0.5000, 0.7922, 0.7176)  2 Sc 2.56-2.64

The calculation returns the following M_tot values, one per record and in order: 0.0 0.0 0.0 0.0 0.4 1.3 9.6 0.0 0.0 18.0 0.0 0.0 0.0 Bohr magnetons per cell.